No. 1
TaTe2Se2, relaxed, DFT PBE-GGA; E_tot = -4.812 eV per atom; formation energy from raw total energies = 20.2 kJ per mole of atoms
1.0
-1.9910 -0.3104 6.2336
6.2213 -0.6218 1.9562
0.4899 6.3965 0.4750
Te Se Ta
4 4 2
direct
0.1503 0.6503 0.5000
0.6503 0.8497 0.5000
0.8497 0.3497 0.5000
0.3497 0.1503 0.5000
0.3464 0.8464 0.0000
0.8464 0.6536 0.0000
0.6536 0.1536 0.0000
0.1536 0.3464 0.0000
0.0000 0.0000 0.0000
0.5000 0.5000 0.0000



No. 2
Ta4TeSe, relaxed, DFT PBE-GGA; E_tot = -8.398 eV per atom; formation energy from raw total energies = 58.7 kJ per mole of atoms
1.0
0.4942 -4.3753 3.4390
-2.9624 -4.6423 -0.9422
2.5670 -4.6465 -1.7421
Ta Te Se
4 1 1
direct
0.8775 0.3742 0.3742
0.3742 0.3742 0.8775
0.3742 0.8775 0.3742
0.3742 0.3742 0.3742
0.7500 0.7500 0.7500
0.0000 0.0000 0.0000



Which formula does entry 1 have?
TaTe2Se2



Which value of E_tot does entry 1 give?
-4.812 eV per atom



Please write out number 2 again, unchanged.
Ta4TeSe, relaxed, DFT PBE-GGA; E_tot = -8.398 eV per atom; formation energy from raw total energies = 58.7 kJ per mole of atoms
1.0
0.4942 -4.3753 3.4390
-2.9624 -4.6423 -0.9422
2.5670 -4.6465 -1.7421
Ta Te Se
4 1 1
direct
0.8775 0.3742 0.3742
0.3742 0.3742 0.8775
0.3742 0.8775 0.3742
0.3742 0.3742 0.3742
0.7500 0.7500 0.7500
0.0000 0.0000 0.0000